A plane-wave DFT calculation with PBE with a Hubbard U was carried out for a relaxed structure of SiMoPO2.

VASP energy ... -30.009 eV per cell
Offset from the most stable computed form ... 293.4 meV per atom
Fermi-level density of states ... 1.3 states/eV/cell

Cell lengths 3.8411, 3.8411, 5.2685 Å; angles 90.00, 90.00, 90.00 degrees
Space group P4/mmm (No. 123)
Asymmetric unit:
Si: 0.0000 0.0000 0.0000 [1 per cell]
Mo: 0.5000 0.5000 0.5000 [1 per cell]
P: 0.5000 0.5000 0.0000 [1 per cell]
O: 0.0000 0.5000 0.5000 [2 per cell]